1.
CePm2Tl2Cd2, optimized geometry, DFT PBE; calculated density = 8.9 g/cm3; ΔE_f = -0.140 eV/atom
1.0
2.541 1.467 8.902
-2.541 1.467 8.902
0.000 -2.934 8.902
Ce Pm Tl Cd
1 2 2 2
Direct
0.000 0.000 0.000
0.130 0.130 0.130
0.870 0.870 0.870
0.269 0.269 0.269
0.731 0.731 0.731
0.416 0.416 0.416
0.584 0.584 0.584

=====

2.
Ce2PmTl2Cd2, optimized geometry, DFT PBE; calculated density = 9.3 g/cm3; ΔE_f = -0.143 eV/atom
1.0
2.432 1.404 9.209
-2.432 1.404 9.209
0.000 -2.808 9.209
Ce Pm Tl Cd
2 1 2 2
Direct
0.146 0.146 0.146
0.854 0.854 0.854
0.000 0.000 0.000
0.272 0.272 0.272
0.728 0.728 0.728
0.424 0.424 0.424
0.576 0.576 0.576

=====

3.
CePmTmCd, optimized geometry, DFT PBE; calculated density = 8.2 g/cm3; ΔE_f = 0.043 eV/atom
1.0
7.724 0.000 0.000
0.000 7.724 0.000
0.000 0.000 7.724
Ce Pm Tm Cd
4 4 4 4
Direct
0.000 0.000 0.000
0.000 0.500 0.500
0.500 0.000 0.500
0.500 0.500 0.000
0.250 0.250 0.750
0.250 0.750 0.250
0.750 0.250 0.250
0.750 0.750 0.750
0.000 0.000 0.500
0.000 0.500 0.000
0.500 0.000 0.000
0.500 0.500 0.500
0.250 0.250 0.250
0.250 0.750 0.750
0.750 0.250 0.750
0.750 0.750 0.250

=====

4.
CePmYCd, optimized geometry, DFT PBE; calculated density = 6.9 g/cm3; ΔE_f = 0.029 eV/atom
1.0
7.774 0.000 0.000
0.000 7.774 0.000
0.000 0.000 7.774
Ce Pm Y Cd
4 4 4 4
Direct
0.000 0.000 0.000
0.000 0.500 0.500
0.500 0.000 0.500
0.500 0.500 0.000
0.250 0.250 0.250
0.250 0.750 0.750
0.750 0.250 0.750
0.750 0.750 0.250
0.000 0.000 0.500
0.000 0.500 0.000
0.500 0.000 0.000
0.500 0.500 0.500
0.250 0.250 0.750
0.250 0.750 0.250
0.750 0.250 0.250
0.750 0.750 0.750

=====

5.
Ce2PrCd, optimized geometry, DFT PBE; calculated density = 7.5 g/cm3; polymorph energy (0 for the lowest one) = 0.118 eV/atom; ΔE_f = 0.104 eV/atom
1.0
7.775 0.000 0.000
0.000 7.775 0.000
0.000 0.000 7.775
Ce Pr Cd
8 4 4
Direct
0.250 0.250 0.250
0.250 0.250 0.750
0.250 0.750 0.250
0.250 0.750 0.750
0.750 0.250 0.250
0.750 0.250 0.750
0.750 0.750 0.250
0.750 0.750 0.750
0.000 0.000 0.000
0.000 0.500 0.500
0.500 0.000 0.500
0.500 0.500 0.000
0.000 0.000 0.500
0.000 0.500 0.000
0.500 0.000 0.000
0.500 0.500 0.500

=====

6.
Ce2PrCd8, optimized geometry, DFT PBE; calculated density = 7.8 g/cm3; ΔE_f = -0.209 eV/atom
1.0
-2.694 3.289 7.979
2.694 -3.289 7.979
2.694 3.289 -7.979
Ce Pr Cd
2 1 8
Direct
0.191 0.191 0.000
0.809 0.809 0.000
0.500 0.000 0.500
0.000 0.249 0.249
0.000 0.751 0.751
0.146 0.373 0.773
0.298 0.798 0.500
0.399 0.627 0.773
0.601 0.373 0.227
0.702 0.202 0.500
0.854 0.627 0.227

=====

7.
Ce2PrCd, optimized geometry, DFT PBE; calculated density = 7.6 g/cm3; polymorph energy (0 for the lowest one) = 0.025 eV/atom; ΔE_f = 0.011 eV/atom
1.0
3.385 0.000 0.000
0.000 3.385 0.000
0.000 0.000 10.227
Ce Pr Cd
2 1 1
Direct
0.000 0.000 0.232
0.000 0.000 0.768
0.500 0.500 0.500
0.500 0.500 0.000

=====

8.
CePr5Cd3, optimized geometry, DFT PBE; calculated density = 7.0 g/cm3; ΔE_f = -0.135 eV/atom
1.0
9.558 0.000 0.000
-4.779 8.278 0.000
0.000 0.000 7.049
Ce Pr Cd
2 10 6
Direct
0.000 0.000 0.000
0.000 0.000 0.500
0.000 0.325 0.250
0.000 0.675 0.750
0.325 0.000 0.250
0.325 0.325 0.750
0.333 0.667 0.000
0.333 0.667 0.500
0.667 0.333 0.000
0.667 0.333 0.500
0.675 0.000 0.750
0.675 0.675 0.250
0.000 0.339 0.750
0.000 0.661 0.250
0.339 0.000 0.750
0.339 0.339 0.250
0.661 0.000 0.250
0.661 0.661 0.750

=====

The lowest calculated density belongs to which entry? CePmYCd

=====

What is the formula in the third record? CePmTmCd

=====

Number 4 is which compound? CePmYCd